Here is an optimized crystal structure of La2Si3GeRh4 from Alexandria via LeMat-Bulk. Energies are from GGA-PBE.

Cell and atoms, written as POSCAR:
```
La2Si3GeRh4
1.0
4.252 0.000 0.000
0.000 4.252 0.000
0.000 0.000 9.961
La Si Ge Rh
2 3 1 4
Cartesian
0.000 2.126 2.433 La
2.126 0.000 7.527 La
0.000 0.000 0.000 Si
0.000 2.126 6.226 Si
2.126 0.000 3.735 Si
2.126 2.126 0.000 Ge
0.000 0.000 4.980 Rh
0.000 2.126 8.663 Rh
2.126 0.000 1.297 Rh
2.126 2.126 4.980 Rh
```

Crystal system: tetragonal
Energy relative to the elements, uncorrected: -1.007 eV/atom
D(E_F): 0.568 states/eV per atom
E: -7.0219 eV per atom



Here is an optimized crystal structure of LaSiGe2Rh from Alexandria via LeMat-Bulk. Energies are from GGA-PBE.

Cell and atoms, written as POSCAR:
```
LaSiGe2Rh
1.0
5.443 0.000 0.000
0.000 5.443 0.000
0.000 0.000 5.343
La Si Ge Rh
1 1 2 1
Cartesian
0.000 0.000 0.000 La
0.000 0.000 2.671 Si
0.000 2.721 0.000 Ge
2.721 0.000 0.000 Ge
2.721 2.721 2.671 Rh
```

Crystal system: tetragonal
Energy relative to the elements, uncorrected: 1.588 eV/atom
D(E_F): 1.550 states/eV per atom
E: -3.7990 eV per atom



Here is an optimized crystal structure of La2SiGeRh6 from Alexandria via LeMat-Bulk. Energies are from GGA-PBE.

Cell and atoms, written as POSCAR:
```
La2SiGeRh6
1.0
5.602 -3.238 0.000
5.602 3.238 0.000
-3.731 0.000 5.294
La Si Ge Rh
2 1 1 6
Cartesian
1.870 0.000 1.321 La
5.604 0.000 3.973 La
-1.866 0.000 2.647 Si
5.602 0.000 0.000 Ge
2.818 1.650 3.941 Rh
-0.029 0.000 3.938 Rh
4.656 1.650 1.354 Rh
2.818 -1.650 3.941 Rh
7.503 0.000 1.357 Rh
4.656 -1.650 1.354 Rh
```

Crystal system: monoclinic
Energy relative to the elements, uncorrected: -0.567 eV/atom
D(E_F): 0.128 states/eV per atom
E: -6.9676 eV per atom



Here is an optimized crystal structure of LaSmGeRh from Alexandria via LeMat-Bulk. Energies are from GGA-PBE.

Cell and atoms, written as POSCAR:
```
LaSmGeRh
1.0
0.000 3.635 3.635
3.635 0.000 3.635
3.635 3.635 0.000
La Sm Ge Rh
1 1 1 1
Cartesian
0.000 0.000 0.000 La
3.635 3.635 3.635 Sm
5.453 5.453 5.453 Ge
1.818 1.818 1.818 Rh
```

Energy above the most stable polymorph in this dataset: 0 meV per atom
Crystal system: cubic
D(E_F): 0.811 states/eV per atom
E: -6.0314 eV per atom
Energy of formation: -2.5 eV/f.u.



Here is an optimized crystal structure of LaSmGeRh from Alexandria via LeMat-Bulk. Energies are from GGA-PBE.

Cell and atoms, written as POSCAR:
```
LaSmGeRh
1.0
4.695 0.000 0.000
0.000 4.695 0.000
0.000 0.000 10.129
La Sm Ge Rh
2 2 2 2
Cartesian
1.174 1.174 1.749 La
3.521 3.521 8.380 La
1.174 3.521 5.065 Sm
3.521 1.174 5.065 Sm
1.174 1.174 8.962 Ge
3.521 3.521 1.167 Ge
1.174 1.174 6.606 Rh
3.521 3.521 3.523 Rh
```

Energy above the most stable polymorph in this dataset: 104 meV per atom
Crystal system: tetragonal
D(E_F): 0.819 states/eV per atom
E: -5.9271 eV per atom
Energy of formation: -2.1 eV/f.u.



Here is an optimized crystal structure of LaSnGeRh3 from Alexandria via LeMat-Bulk. Energies are from GGA-PBE.

Cell and atoms, written as POSCAR:
```
LaSnGeRh3
1.0
2.910 -7.914 0.000
2.910 7.914 0.000
0.000 0.000 5.803
La Sn Ge Rh
2 2 2 6
Cartesian
2.910 4.013 4.352 La
2.910 -4.013 1.451 La
2.910 1.559 1.451 Sn
2.910 -1.559 4.352 Sn
2.910 6.575 1.451 Ge
2.910 -6.575 4.352 Ge
2.910 4.151 1.451 Rh
1.418 0.000 0.000 Rh
1.418 0.000 2.902 Rh
4.401 0.000 0.000 Rh
4.401 0.000 2.902 Rh
2.910 -4.151 4.352 Rh
```

Crystal system: orthorhombic
D(E_F): 0.345 states/eV per atom
E: -6.5245 eV per atom
Energy of formation: -3.5 eV/f.u.



Here is an optimized crystal structure of La2SnGe4Rh3 from Alexandria via LeMat-Bulk. Energies are from GGA-PBE.

Cell and atoms, written as POSCAR:
```
La2SnGe4Rh3
1.0
4.357 0.000 0.000
0.000 4.357 0.000
0.000 0.000 10.571
La Sn Ge Rh
2 1 4 3
Cartesian
0.000 2.179 2.482 La
2.179 0.000 8.089 La
0.000 0.000 5.286 Sn
0.000 0.000 0.000 Ge
0.000 2.179 6.929 Ge
2.179 0.000 3.642 Ge
2.179 2.179 0.000 Ge
0.000 2.179 9.351 Rh
2.179 0.000 1.220 Rh
2.179 2.179 5.286 Rh
```

Crystal system: tetragonal
D(E_F): 0.440 states/eV per atom
E: -6.1963 eV per atom
Energy of formation: -7.6 eV/f.u.



Here is an optimized crystal structure of LaTbGeRh from Alexandria via LeMat-Bulk. Energies are from GGA-PBE.

Cell and atoms, written as POSCAR:
```
LaTbGeRh
1.0
4.643 0.000 0.000
0.000 4.643 0.000
0.000 0.000 10.095
La Tb Ge Rh
2 2 2 2
Cartesian
1.161 1.161 1.761 La
3.482 3.482 8.334 La
1.161 3.482 5.048 Tb
3.482 1.161 5.048 Tb
1.161 1.161 8.939 Ge
3.482 3.482 1.157 Ge
1.161 1.161 6.572 Rh
3.482 3.482 3.523 Rh
```

Energy above the most stable polymorph in this dataset: 76 meV per atom
Crystal system: tetragonal
D(E_F): 0.635 states/eV per atom
E: -5.9590 eV per atom
Energy of formation: -2.3 eV/f.u.



Here is an optimized crystal structure of La2TbGe3Rh4 from Alexandria via LeMat-Bulk. Energies are from GGA-PBE.

Cell and atoms, written as POSCAR:
```
La2TbGe3Rh4
1.0
4.234 0.000 0.000
0.000 4.234 0.000
0.000 0.000 11.244
La Tb Ge Rh
2 1 3 4
Cartesian
0.000 2.117 2.612 La
2.117 0.000 8.632 La
0.000 0.000 5.622 Tb
0.000 2.117 9.903 Ge
2.117 0.000 1.341 Ge
2.117 2.117 5.622 Ge
0.000 0.000 0.000 Rh
0.000 2.117 7.406 Rh
2.117 0.000 3.838 Rh
2.117 2.117 0.000 Rh
```

Crystal system: tetragonal
D(E_F): 0.703 states/eV per atom
E: -6.6775 eV per atom
Energy of formation: -9.0 eV/f.u.



Here is an optimized crystal structure of LaTbGeRh from Alexandria via LeMat-Bulk. Energies are from GGA-PBE.

Cell and atoms, written as POSCAR:
```
LaTbGeRh
1.0
0.000 3.606 3.606
3.606 0.000 3.606
3.606 3.606 0.000
La Tb Ge Rh
1 1 1 1
Cartesian
0.000 0.000 0.000 La
3.606 3.606 3.606 Tb
1.803 1.803 1.803 Ge
5.409 5.409 5.409 Rh
```

Energy above the most stable polymorph in this dataset: 0 meV per atom
Crystal system: cubic
D(E_F): 0.744 states/eV per atom
E: -6.0349 eV per atom
Energy of formation: -2.6 eV/f.u.



Here is an optimized crystal structure of LaTcGe3Rh from Alexandria via LeMat-Bulk. Energies are from GGA-PBE.

Cell and atoms, written as POSCAR:
```
LaTcGe3Rh
1.0
3.839 -5.743 0.000
3.839 5.743 0.000
0.000 0.000 5.883
La Tc Ge Rh
2 2 6 2
Cartesian
3.839 2.933 4.412 La
3.839 -2.933 1.471 La
3.839 0.556 1.471 Tc
3.839 -0.556 4.412 Tc
1.913 0.000 0.000 Ge
1.913 0.000 2.941 Ge
3.839 2.864 1.471 Ge
3.839 -2.864 4.412 Ge
5.765 0.000 0.000 Ge
5.765 0.000 2.941 Ge
3.839 5.179 1.471 Rh
3.839 -5.179 4.412 Rh
```

Crystal system: orthorhombic
D(E_F): 0.474 states/eV per atom
E: -6.4704 eV per atom
Energy of formation: -2.3 eV/f.u.



Here is an optimized crystal structure of La2TcGe6Rh from Alexandria via LeMat-Bulk. Energies are from GGA-PBE.

Cell and atoms, written as POSCAR:
```
La2TcGe6Rh
1.0
6.440 0.000 0.000
0.000 9.032 0.000
0.000 0.000 7.398
La Tc Ge Rh
4 2 12 2
Cartesian
1.610 0.061 1.849 La
1.610 4.454 1.849 La
4.830 4.577 5.550 La
4.830 8.970 5.550 La
1.610 6.774 4.563 Tc
4.830 2.258 2.835 Tc
0.342 6.774 7.020 Ge
0.368 2.258 4.110 Ge
1.610 4.701 5.957 Ge
1.610 8.846 5.957 Ge
2.852 2.258 4.110 Ge
2.878 6.774 7.020 Ge
3.563 2.258 0.378 Ge
3.588 6.774 3.288 Ge
4.830 0.186 1.441 Ge
4.830 4.330 1.441 Ge
6.072 6.774 3.288 Ge
6.098 2.258 0.378 Ge
1.610 2.258 6.291 Rh
4.830 6.774 1.107 Rh
```

Crystal system: orthorhombic
D(E_F): 0.542 states/eV per atom
E: -6.0083 eV per atom
Energy of formation: -4.8 eV/f.u.